(1)
{
  "formula": "Np3Bi4Au3",
  "functional": "PBE",
  "state": "optimized geometry",
  "lattice": [[-5.115, 5.115, 5.115], [5.115, -5.115, 5.115], [5.115, 5.115, -5.115]],
  "species": ["Np", "Np", "Np", "Np", "Np", "Np", "Bi", "Bi", "Bi", "Bi", "Bi", "Bi", "Bi", "Bi", "Au", "Au", "Au", "Au", "Au", "Au"],
  "fractional_positions": [[0.125, 0.875, 0.250], [0.250, 0.125, 0.875], [0.375, 0.625, 0.750], [0.625, 0.750, 0.375], [0.750, 0.375, 0.625], [0.875, 0.250, 0.125], [0.000, 0.186, 0.500], [0.000, 0.686, 0.500], [0.186, 0.500, 0.000], [0.314, 0.314, 0.314], [0.500, 0.000, 0.186], [0.500, 0.000, 0.686], [0.686, 0.500, 0.000], [0.814, 0.814, 0.814], [0.125, 0.750, 0.875], [0.250, 0.625, 0.375], [0.375, 0.250, 0.625], [0.625, 0.375, 0.250], [0.750, 0.875, 0.125], [0.875, 0.125, 0.750]],
  "ef_ev_per_atom": -0.08,
  "magmom_total_mub_per_fu": 11.98,
  "dft_energy_ev_per_atom": -6.50
}

***

(2)
{
  "formula": "TaTeI2N",
  "functional": "PBE",
  "state": "optimized geometry",
  "lattice": [[6.153, 0.000, 0.000], [0.000, 6.153, 0.000], [0.000, 0.000, 3.903]],
  "species": ["Ta", "Te", "I", "I", "N"],
  "fractional_positions": [[0.000, 0.000, 0.000], [0.500, 0.500, 0.500], [0.000, 0.500, 0.500], [0.500, 0.000, 0.500], [0.500, 0.500, 0.000]],
  "formation_energy_uncorrected_ev_per_atom": 1.55,
  "polymorph_energy_kj_per_mol_atoms": 121.5,
  "magmom_total_mub_per_fu": 3.05,
  "dft_energy_ev_per_atom": -3.73
}

***

Please write out number 1 again, unchanged.
{
  "formula": "Np3Bi4Au3",
  "functional": "PBE",
  "state": "optimized geometry",
  "lattice": [[-5.115, 5.115, 5.115], [5.115, -5.115, 5.115], [5.115, 5.115, -5.115]],
  "species": ["Np", "Np", "Np", "Np", "Np", "Np", "Bi", "Bi", "Bi", "Bi", "Bi", "Bi", "Bi", "Bi", "Au", "Au", "Au", "Au", "Au", "Au"],
  "fractional_positions": [[0.125, 0.875, 0.250], [0.250, 0.125, 0.875], [0.375, 0.625, 0.750], [0.625, 0.750, 0.375], [0.750, 0.375, 0.625], [0.875, 0.250, 0.125], [0.000, 0.186, 0.500], [0.000, 0.686, 0.500], [0.186, 0.500, 0.000], [0.314, 0.314, 0.314], [0.500, 0.000, 0.186], [0.500, 0.000, 0.686], [0.686, 0.500, 0.000], [0.814, 0.814, 0.814], [0.125, 0.750, 0.875], [0.250, 0.625, 0.375], [0.375, 0.250, 0.625], [0.625, 0.375, 0.250], [0.750, 0.875, 0.125], [0.875, 0.125, 0.750]],
  "ef_ev_per_atom": -0.08,
  "magmom_total_mub_per_fu": 11.98,
  "dft_energy_ev_per_atom": -6.50
}